No. 1
A geometry-optimized CdCoBi3 structure, computed with PBE.

abc: 5.183 5.183 5.183
angles: 90.00 90.00 90.00
Fractional positions:
Co (0.000, 0.000, 0.000)
Bi (0.000, 0.500, 0.000)
Bi (0.000, 0.000, 0.500)
Bi (0.500, 0.000, 0.000)
Cd (0.500, 0.500, 0.500)

ΔE_f ... 0.35 eV/atom
Magnetic moment ... 0.000 μB/f.u.

=====

No. 2
A geometry-optimized CsBaY2Au structure, computed with PBE.

abc: 5.845 5.990 5.845
angles: 90.00 90.00 90.00
Fractional positions:
Cs (0.000, 0.000, 0.000)
Y (0.000, 0.000, 0.500)
Y (0.500, 0.000, 0.000)
Au (0.000, 0.500, 0.000)
Ba (0.500, 0.500, 0.500)

ΔE_f ... 0.91 eV/atom
Magnetic moment ... 0.000 μB/f.u.

=====

Question: magnetic moment of number 2 (CsBaY2Au)?
Answer: 0.000 μB/f.u.

=====

Question: Number 1 is which compound?
Answer: CdCoBi3